Entry 1:
# Na2ZnTe

A geometry-optimized Na2ZnTe structure (PBE-GGA, Alexandria via LeMat-Bulk).

Cell lengths 5.823, 5.823, 18.316 Å; angles 90.00, 90.00, 90.00 degrees
Space group I-42d (No. 122)
Inequivalent atoms, fractional coordinates:
Na: 0.203 0.250 0.125
Zn: 0.000 0.000 0.500
Te: 0.000 0.000 0.000

Mass density: 2.6 Mg/m³
Total magnetic moment: 0.000 μB per formula unit
Raw formation energy: -0.22 eV per atom

Entry 2:
# Ge2PRu

A geometry-optimized Ge2PRu structure (PBE-GGA, Alexandria via LeMat-Bulk).

Cell lengths 5.676, 5.676, 10.550 Å; angles 90.00, 90.00, 90.00 degrees
Space group I-42d (No. 122)
Inequivalent atoms, fractional coordinates:
Ge: 0.246 0.250 0.125
P: 0.000 0.000 0.500
Ru: 0.000 0.000 0.000

ΔH_f (0 K): 0.26 eV/atom
Mass density: 5.4 Mg/m³
Total magnetic moment: 0.000 μB per formula unit

Entry 3:
# CaAc2I8

A geometry-optimized CaAc2I8 structure (PBE-GGA, Alexandria via LeMat-Bulk).

Cell lengths 16.555, 9.135, 8.610 Å; angles 90.00, 113.25, 90.00 degrees
Space group C2/m (No. 12)
Inequivalent atoms, fractional coordinates:
Ca: 0.000 0.000 0.000
Ac: 0.131 0.000 0.561
I: 0.028 0.221 0.740
I: 0.180 0.500 0.172
I: 0.198 0.000 0.254

Mass density: 4.2 Mg/m³
Total magnetic moment: 0.000 μB per formula unit
Raw formation energy: -1.43 eV per atom

Entry 4:
# KSiSbI2

A geometry-optimized KSiSbI2 structure (PBE-GGA, Alexandria via LeMat-Bulk).

Cell lengths 6.348, 6.348, 6.508 Å; angles 90.00, 90.00, 90.00 degrees
Space group P4/mmm (No. 123)
Inequivalent atoms, fractional coordinates:
K: 0.000 0.000 0.000
Si: 0.500 0.500 0.500
Sb: 0.000 0.000 0.500
I: 0.000 0.500 0.000

Mass density: 2.8 Mg/m³
Total magnetic moment: 1.868 μB per formula unit
Raw formation energy: 0.87 eV per atom